1.
LiNdHf2N4: optimized geometry, GGA-PBE.

Summary:
DOS(E_F) in states/eV per cell: 0.74
Magnetic moment in μB per formula unit: 0.00
Space group: No. 63

abc: 5.623 5.623 11.035
angles: 90.00 90.00 146.04
Fractional positions:
Li  0.160  0.840  0.750
Li  0.840  0.160  0.250
Nd  0.106  0.894  0.250
Nd  0.894  0.106  0.750
Hf  0.366  0.634  0.058
Hf  0.366  0.634  0.442
Hf  0.634  0.366  0.558
Hf  0.634  0.366  0.942
N  0.000  0.000  0.000
N  0.000  0.000  0.500
N  0.262  0.738  0.609
N  0.262  0.738  0.891
N  0.439  0.561  0.250
N  0.561  0.439  0.750
N  0.738  0.262  0.109
N  0.738  0.262  0.391

=====

2.
LiHf2NiN: optimized geometry, GGA-PBE.

Summary:
DOS(E_F) in states/eV per cell: 2.59
Magnetic moment in μB per formula unit: 0.00
Space group: No. 123

abc: 4.391 4.391 3.644
angles: 90.00 90.00 90.00
Fractional positions:
Li  0.000  0.000  0.000
Hf  0.000  0.500  0.500
Hf  0.500  0.000  0.500
Ni  0.500  0.500  0.000
N  0.000  0.000  0.500

=====

For reference, E_form (uncorrected) by record: -12.20 -3.60 eV/f.u..